A relaxed structure of Ba2NaMgBr, computed with PBE.

Calculated values
Energy relative to the lowest polymorph listed for this composition (eV per formula unit): 1.331
E_form (uncorrected) (kcal/mol of atoms): -2.045

Geometry as extended XYZ:
```
5
Lattice="-4.791 -4.250 2.791 3.404 -3.869 -0.050 2.137 1.797 6.404" Properties=species:S:1:pos:R:3 pbc="T T T"
Na 0.000 0.000 0.000
Mg 0.375 -3.161 4.572
Ba 1.068 0.898 3.202
Ba -2.395 -2.125 1.395
Br 1.702 -1.935 -0.025
```